(a)
The following is a GGA-PBE calculation of a relaxed Cs3AuS crystal, from Alexandria.

For the density, the calculation gives 4.375 g/cm³.

It has space group Pnma (No. 62), with a = 9.224 Å, b = 5.231 Å, c = 19.750 Å, α = 90.00°, β = 90.00° and γ = 90.00°. The asymmetric unit holds Cs at (0.016, 0.250, 0.092), Cs at (0.131, 0.750, 0.450), Cs at (0.158, 0.250, 0.705), Au at (0.138, 0.250, 0.296) and S at (0.236, 0.750, 0.044).

=====

(b)
The following is a GGA-PBE calculation of a relaxed Cs3AuS crystal, from Alexandria.

For the density, the calculation gives 3.497 g/cm³.

It has space group Pm-3m (No. 221), with a = 6.680 Å, b = 6.680 Å, c = 6.680 Å, α = 90.00°, β = 90.00° and γ = 90.00°. The asymmetric unit holds Cs at (0.000, 0.000, 0.500), Au at (0.500, 0.500, 0.500) and S at (0.000, 0.000, 0.000).

=====

Stability ranking, top and bottom: (a) is the most stable and (b) is the least stable.

=====

(a)
The following is a GGA-PBE calculation of a relaxed CsSb2Au crystal, from Alexandria.

For the density, the calculation gives 6.751 g/cm³.

It has space group R-3m (No. 166, hexagonal axes), with a = 4.5013 Å, b = 4.5013 Å, c = 24.1134 Å, α = 90.00°, β = 90.00° and γ = 120.00°. The asymmetric unit holds Cs at (0.0000, 0.0000, 0.0000), Sb at (0.0000, 0.0000, 0.2137) and Au at (0.0000, 0.0000, 0.5000).

=====

(b)
The following is a GGA-PBE calculation of a relaxed CsSb2Au crystal, from Alexandria.

For the density, the calculation gives 7.996 g/cm³.

It has space group Fm-3m (No. 225), with a = 7.810 Å, b = 7.810 Å, c = 7.810 Å, α = 90.00°, β = 90.00° and γ = 90.00°. The asymmetric unit holds Cs at (0.000, 0.000, 0.000), Sb at (0.250, 0.250, 0.250) and Au at (0.000, 0.000, 0.500).

=====

(c)
The following is a GGA-PBE calculation of a relaxed CsSb2Au crystal, from Alexandria.

For the density, the calculation gives 6.003 g/cm³.

It has space group C2/m (No. 12), with a = 12.088 Å, b = 4.367 Å, c = 6.032 Å, α = 90.00°, β = 95.06° and γ = 90.00°. The asymmetric unit holds Cs at (0.000, 0.000, 0.000), Sb at (0.217, 0.500, 0.639) and Au at (0.000, 0.500, 0.500).

=====

Stability ranking, top and bottom: (c) is the most stable and (b) is the least stable.

=====

(a)
The following is a GGA-PBE calculation of a relaxed CsSbAu3 crystal, from Alexandria.

For the density, the calculation gives 8.866 g/cm³.

It has space group P1 (No. 1), with a = 7.057 Å, b = 7.064 Å, c = 8.129 Å, α = 96.92°, β = 109.42° and γ = 118.39°. The asymmetric unit holds Cs at (0.000, 0.000, 0.000), Cs at (0.055, 0.582, 0.638), Sb at (0.601, 0.879, 0.482), Sb at (0.677, 0.333, 0.010), Au at (0.027, 0.064, 0.466), Au at (0.156, 0.595, 0.172), Au at (0.401, 0.439, 0.466), Au at (0.485, 0.153, 0.638), Au at (0.576, 0.596, 0.172) and Au at (0.577, 0.016, 0.172).

=====

(b)
The following is a GGA-PBE calculation of a relaxed CsSbAu3 crystal, from Alexandria.

For the density, the calculation gives 9.869 g/cm³.

It has space group C2/c (No. 15), with a = 15.567 Å, b = 11.752 Å, c = 6.936 Å, α = 90.00°, β = 116.23° and γ = 90.00°. The asymmetric unit holds Cs at (0.000, 0.001, 0.250), Cs at (0.000, 0.372, 0.250), Sb at (0.114, 0.284, 0.864), Au at (0.184, 0.156, 0.230), Au at (0.184, 0.156, 0.635) and Au at (0.222, 0.482, 0.974).

=====

(c)
The following is a GGA-PBE calculation of a relaxed CsSbAu3 crystal, from Alexandria.

For the density, the calculation gives 8.766 g/cm³.

It has space group Cmcm (No. 63), with a = 7.291 Å, b = 16.097 Å, c = 5.459 Å, α = 90.00°, β = 90.00° and γ = 90.00°. The asymmetric unit holds Cs at (0.000, 0.097, 0.250), Sb at (0.000, 0.353, 0.250), Au at (0.000, 0.500, 0.000) and Au at (0.184, 0.229, 0.750).

=====

Stability ranking, top and bottom: (a) is the most stable and (c) is the least stable.

=====

(a)
The following is a GGA-PBE calculation of a relaxed CsSbAu3 crystal, from Alexandria.

For the density, the calculation gives 6.854 g/cm³.

It has space group Fd-3m (No. 227, origin choice 2), with a = 14.854 Å, b = 14.854 Å, c = 14.854 Å, α = 90.00°, β = 90.00° and γ = 90.00°. The asymmetric unit holds Cs at (0.000, 0.000, 0.000), Sb at (0.000, 0.000, 0.500) and Au at (0.038, 0.375, 0.875).

=====

(b)
The following is a GGA-PBE calculation of a relaxed CsSbAu3 crystal, from Alexandria.

For the density, the calculation gives 7.276 g/cm³.

It has space group P4mm (No. 99), with a = 5.336 Å, b = 5.336 Å, c = 6.778 Å, α = 90.00°, β = 90.00° and γ = 90.00°. The asymmetric unit holds Cs at (0.000, 0.000, 0.000), Sb at (0.500, 0.500, 0.619), Au at (0.000, 0.000, 0.499) and Au at (0.000, 0.500, 0.514).

=====

Stability ranking, top and bottom: (b) is the most stable and (a) is the least stable.

=====

(a)
The following is a GGA-PBE calculation of a relaxed CsSbAu3 crystal, from Alexandria.

For the density, the calculation gives 9.136 g/cm³.

It has space group P1 (No. 1), with a = 6.058 Å, b = 7.051 Å, c = 8.108 Å, α = 101.83°, β = 90.82° and γ = 114.17°. The asymmetric unit holds Cs at (0.000, 0.000, 0.000), Cs at (0.027, 0.010, 0.479), Sb at (0.327, 0.654, 0.128), Sb at (0.367, 0.633, 0.652), Au at (0.038, 0.493, 0.364), Au at (0.529, 0.441, 0.903), Au at (0.565, 0.063, 0.737), Au at (0.587, 0.458, 0.249), Au at (0.678, 0.427, 0.574) and Au at (0.995, 0.460, 0.846).

=====

(b)
The following is a GGA-PBE calculation of a relaxed CsSbAu3 crystal, from Alexandria.

For the density, the calculation gives 8.502 g/cm³.

It has space group C2/m (No. 12), with a = 14.477 Å, b = 4.897 Å, c = 9.923 Å, α = 90.00°, β = 110.09° and γ = 90.00°. The asymmetric unit holds Cs at (0.173, 0.000, 0.118), Sb at (0.135, 0.500, 0.411), Au at (0.008, 0.500, 0.870), Au at (0.077, 0.500, 0.647) and Au at (0.150, 0.000, 0.541).

=====

Stability ranking, top and bottom: (a) is the most stable and (b) is the least stable.

=====

(a)
The following is a GGA-PBE calculation of a relaxed CsSbAu3 crystal, from Alexandria.

For the density, the calculation gives 7.550 g/cm³.

It has space group I-4m2 (No. 119), with a = 5.269 Å, b = 5.269 Å, c = 26.800 Å, α = 90.00°, β = 90.00° and γ = 90.00°. The asymmetric unit holds Cs at (0.000, 0.000, 0.000), Cs at (0.000, 0.500, 0.250), Sb at (0.000, 0.500, 0.641), Au at (0.000, 0.000, 0.388) and Au at (0.000, 0.251, 0.124).

=====

(b)
The following is a GGA-PBE calculation of a relaxed CsSbAu3 crystal, from Alexandria.

For the density, the calculation gives 7.390 g/cm³.

It has space group P6_3/mmc (No. 194), with a = 4.6988 Å, b = 4.6988 Å, c = 19.8732 Å, α = 90.00°, β = 90.00° and γ = 120.00°. The asymmetric unit holds Cs at (0.0000, 0.0000, 0.0000), Sb at (0.3333, 0.6667, 0.2500), Au at (0.0000, 0.0000, 0.2500) and Au at (0.3333, 0.6667, 0.1148).

=====

Stability ranking, top and bottom: (a) is the most stable and (b) is the least stable.